No. 1
# PmPrEr5

PmPrEr5 after structural relaxation (GGA-PBE, Alexandria).

Its excess energy over the best structure of this formula in the dataset is 0.917 eV per atom.

The structure belongs to space group Immm (No. 71); the cell edges are 5.7540, 8.6499 and 11.8313 Å and the angles 90.00°, 90.00° and 90.00°. The asymmetric unit holds Pm at (0.0000, 0.0000, 0.0000), Pr at (0.0000, 0.0000, 0.5000), Er at (0.0000, 0.0000, 0.2539), Er at (0.0000, 0.3223, 0.5000) and Er at (0.0000, 0.5000, 0.0000).

***

No. 2
# Pm5Pr12Er2

Pm5Pr12Er2 after structural relaxation (GGA-PBE, Alexandria).

Its excess energy over the best structure of this formula in the dataset is 0.043 eV per atom.

The structure belongs to space group C2/m (No. 12); the cell edges are 19.3836, 7.5848 and 10.2202 Å and the angles 90.00°, 115.61° and 90.00°. The asymmetric unit holds Pm at (0.0000, 0.0000, 0.0000), Pm at (0.1751, 0.0000, 0.6702), Pm at (0.1769, 0.5000, 0.6972), Pr at (0.0080, 0.0000, 0.7154), Pr at (0.0077, 0.5000, 0.8257), Pr at (0.1597, 0.2496, 0.3508), Pr at (0.1659, 0.2407, 0.0012) and Er at (0.0000, 0.2982, 0.5000).

***

No. 3
# Pm4Pr3Er2

Pm4Pr3Er2 after structural relaxation (GGA-PBE, Alexandria).

Its excess energy over the best structure of this formula in the dataset is 0.000 eV per atom.

The structure belongs to space group P-1 (No. 2); the cell edges are 6.2929, 6.2997 and 9.6342 Å and the angles 70.92°, 89.83° and 60.07°. The asymmetric unit holds Pm at (0.1110, 0.1129, 0.3341), Pm at (0.3343, 0.3306, 0.0000), Pr at (0.0000, 0.0000, 0.0000), Pr at (0.4446, 0.4437, 0.3348) and Er at (0.2209, 0.2239, 0.6650).

***

No. 4
# Pm4Pr4Er3

Pm4Pr4Er3 after structural relaxation (GGA-PBE, Alexandria).

Its excess energy over the best structure of this formula in the dataset is 0.062 eV per atom.

The structure belongs to space group Immm (No. 71); the cell edges are 3.6707, 9.5739 and 21.8576 Å and the angles 90.00°, 90.00° and 90.00°. The asymmetric unit holds Pm at (0.0000, 0.0000, 0.2371), Pm at (0.0000, 0.1853, 0.0000), Pr at (0.0000, 0.3248, 0.1432), Er at (0.0000, 0.0000, 0.5000) and Er at (0.0000, 0.5000, 0.3945).

***

No. 5
# Pm4PrEr7

Pm4PrEr7 after structural relaxation (GGA-PBE, Alexandria).

Its excess energy over the best structure of this formula in the dataset is 0.000 eV per atom.

The structure belongs to space group P-1 (No. 2); the cell edges are 6.5850, 6.8600 and 9.0175 Å and the angles 84.10°, 77.03° and 80.90°. The asymmetric unit holds Pm at (0.1395, 0.3015, 0.2902), Pm at (0.3309, 0.8896, 0.6875), Pr at (0.5000, 0.5000, 0.0000), Er at (0.0150, 0.2495, 0.9522), Er at (0.1816, 0.7938, 0.3544), Er at (0.3119, 0.3975, 0.6170) and Er at (0.5000, 0.0000, 0.0000).

***

No. 6
# Pm2Pr5Er

Pm2Pr5Er after structural relaxation (GGA-PBE, Alexandria).

The structure belongs to space group Pbam (No. 55); the cell edges are 7.3283, 14.7015 and 5.1947 Å and the angles 90.00°, 90.00° and 90.00°. The asymmetric unit holds Pm at (0.2500, 0.1236, 0.0000), Pr at (0.0000, 0.0000, 0.5000), Pr at (0.0013, 0.7482, 0.5000), Pr at (0.2479, 0.3765, 0.0000) and Er at (0.0000, 0.5000, 0.5000).

***

No. 7
# PmPr12Er7

PmPr12Er7 after structural relaxation (GGA-PBE, Alexandria).

Its excess energy over the best structure of this formula in the dataset is 0.000 eV per atom.

The structure belongs to space group R-3 (No. 148, hexagonal axes); the cell edges are 15.3303, 15.3303 and 10.1917 Å and the angles 90.00°, 90.00° and 120.00°. The asymmetric unit holds Pm at (0.0000, 0.0000, 0.0000), Pr at (0.0430, 0.8440, 0.2524), Pr at (0.0462, 0.7971, 0.5769), Er at (0.0000, 0.0000, 0.5000) and Er at (0.0666, 0.8216, 0.9259).

***

No. 8
# Pm6Pr12Er

Pm6Pr12Er after structural relaxation (GGA-PBE, Alexandria).

Its excess energy over the best structure of this formula in the dataset is 0.005 eV per atom.

The structure belongs to space group R-3 (No. 148, hexagonal axes); the cell edges are 12.3560, 12.3560 and 15.4739 Å and the angles 90.00°, 90.00° and 120.00°. The asymmetric unit holds Pm at (0.0152, 0.4252, 0.1865), Pr at (0.0012, 0.8290, 0.6900), Pr at (0.0481, 0.8505, 0.9165) and Er at (0.0000, 0.0000, 0.5000).

***

For each record above, in turn, the calculated size of the total moment values are 0.0, 0.0, 0.0, 0.0, 0.0, 0.0, 0.0, 0.0 Bohr magnetons per cell.
For each record above, in turn, the calculated DOS at the Fermi energy values are 1.377, 1.632, 1.435, 1.612, 1.604, 1.523, 1.717, 1.597 states/eV per atom.
For each record above, in turn, the calculated formation enthalpy at 0 K values are 107.3, 15.6, 1.5, 11.5, 8.1, 1.5, 13.9, 11.9 kJ per mole of atoms.